(1)
A relaxed structure of NbTeAsH2. Source: the Alexandria database, functional PBE-GGA.

a b c (Å): 3.9902 3.9902 5.2306
angles (deg): 90.00 90.00 90.00
Closest atoms and distances in Å follow each position.
Sites, in units of the cell vectors:
Nb  0.0000  0.0000  0.0000  4 H 2.00
Te  0.5000  0.5000  0.5000  4 As 2.82
As  0.0000  0.0000  0.5000  2 Nb 2.62, 4 Te 2.82
H  0.0000  0.5000  0.0000  2 Nb 2.00
H  0.5000  0.0000  0.0000  2 Nb 2.00

Results
As for the space group: P4/mmm (123). As for the total energy: -4.56 eV per atom. As for the theoretical density: 5.931 g/cm3.


(2)
A relaxed structure of Ti2NbAsH. Source: the Alexandria database, functional PBE-GGA.

a b c (Å): 4.1467 4.1467 3.8788
angles (deg): 90.00 90.00 90.00
Closest atoms and distances in Å follow each position.
Sites, in units of the cell vectors:
Ti  0.0000  0.5000  0.0000  2 H 2.07
Ti  0.5000  0.0000  0.0000  2 H 2.07
Nb  0.0000  0.0000  0.5000  2 H 1.94
As  0.5000  0.5000  0.5000  8 Ti 2.84, 4 Nb 2.93
H  0.0000  0.0000  0.0000  2 Nb 1.94, 4 Ti 2.07

Results
As for the space group: P4/mmm (123). As for the total energy: -7.23 eV per atom. As for the theoretical density: 6.587 g/cm3.